# Tl2GePdS4 (PBE, relaxed)
data_Tl2GePdS4
_chemical_formula_sum 'Tl16 Ge8 Pd8 S32'
_symmetry_space_group_name_H-M 'F d d d'
_symmetry_Int_Tables_number 70
_cell_length_a 6.669
_cell_length_b 13.991
_cell_length_c 19.976
_cell_angle_alpha 90.00
_cell_angle_beta 90.00
_cell_angle_gamma 90.00
loop_
_symmetry_equiv_pos_as_xyz
'x,y,z'
'-x,-y,-z'
'-x+1/4,-y+1/4,z'
'x+1/4,y+1/4,-z'
'x,-y+1/4,-z+1/4'
'-x,y+1/4,z+1/4'
'-x+1/4,y,-z+1/4'
'x+1/4,-y,z+1/4'
'x,y+1/2,z+1/2'
'-x,-y+1/2,-z+1/2'
'-x+1/4,-y+3/4,z+1/2'
'x+1/4,y+3/4,-z+1/2'
'x,-y+3/4,-z+3/4'
'-x,y+3/4,z+3/4'
'-x+1/4,y+1/2,-z+3/4'
'x+1/4,-y+1/2,z+3/4'
'x+1/2,y,z+1/2'
'-x+1/2,-y,-z+1/2'
'-x+3/4,-y+1/4,z+1/2'
'x+3/4,y+1/4,-z+1/2'
'x+1/2,-y+1/4,-z+3/4'
'-x+1/2,y+1/4,z+3/4'
'-x+3/4,y,-z+3/4'
'x+3/4,-y,z+3/4'
'x+1/2,y+1/2,z'
'-x+1/2,-y+1/2,-z'
'-x+3/4,-y+3/4,z'
'x+3/4,y+3/4,-z'
'x+1/2,-y+3/4,-z+1/4'
'-x+1/2,y+3/4,z+1/4'
'-x+3/4,y+1/2,-z+1/4'
'x+3/4,-y+1/2,z+1/4'
loop_
_atom_site_label
_atom_site_type_symbol
_atom_site_fract_x
_atom_site_fract_y
_atom_site_fract_z
Tl1 Tl 0.125 0.125 0.290
Ge1 Ge 0.125 0.125 0.625
Pd1 Pd 0.125 0.125 0.125
S1 S 0.115 0.269 0.843
# **Total DFT energy (no corrections)**: -4.14 eV per atom
# **Crystal system**: orthorhombic